Record 1
Zr3ScH: optimized geometry, PBE.

Results
* E above lowest polymorph: 0.000 eV per atom
* space-group type: No. 221

Unit cell a=4.551 b=4.551 c=4.551 alpha=90.00 beta=90.00 gamma=90.00
Atoms (fractional coordinates):
Zr1 0.000 0.000 0.500
Zr2 0.000 0.500 0.000
Zr3 0.500 0.000 0.000
Sc1 0.500 0.500 0.500
H1 0.000 0.000 0.000

=====

Record 2
Cd2Cl: optimized geometry, PBE.

Results
* energy relative to the elements, uncorrected: -25 kJ/mol of atoms
* space-group type: No. 123

Unit cell a=4.124 b=4.124 c=4.947 alpha=90.00 beta=90.00 gamma=90.00
Atoms (fractional coordinates):
Cd1 0.000 0.500 0.000
Cd2 0.500 0.000 0.000
Cl1 0.000 0.000 0.500

=====

Record 3
LuHgPd: optimized geometry, PBE.

Results
* energy of formation: -68.9 kJ/mol of atoms
* space-group type: No. 107

Unit cell a=5.275 b=5.275 c=5.275 alpha=139.56 beta=139.56 gamma=58.52
Atoms (fractional coordinates):
Lu1 0.000 0.000 0.000
Hg1 0.677 0.677 0.000
Pd1 0.348 0.348 0.000

=====

Record 4
Tb3AlB2Pt9: optimized geometry, PBE.

Results
* energy of formation: -88.8 kJ/mol of atoms
* space-group type: No. 164

Unit cell a=5.740 b=5.740 c=9.181 alpha=90.00 beta=90.00 gamma=120.00
Atoms (fractional coordinates):
Tb1 0.000 0.000 0.000
Tb2 0.333 0.667 0.605
Tb3 0.667 0.333 0.395
Al1 0.000 0.000 0.500
B1 0.333 0.667 0.150
B2 0.667 0.333 0.850
Pt1 0.000 0.500 0.000
Pt2 0.164 0.329 0.290
Pt3 0.164 0.836 0.290
Pt4 0.329 0.164 0.710
Pt5 0.500 0.000 0.000
Pt6 0.500 0.500 0.000
Pt7 0.671 0.836 0.290
Pt8 0.836 0.164 0.710
Pt9 0.836 0.671 0.710